A relaxed NaSr2LiHg crystal. Source: the Alexandria database, functional GGA-PBE.

CIF file:
```
data_NaSr2LiHg
_chemical_formula_sum 'Na1 Sr2 Li1 Hg1'
_space_group_name_H-M_alt 'P 4/m m m'
_space_group_IT_number 123
_space_group_name_Hall '-P 4 2'
_cell_length_a 6.294
_cell_length_b 6.294
_cell_length_c 5.729
_cell_angle_alpha 90.00
_cell_angle_beta 90.00
_cell_angle_gamma 90.00
loop_
_atom_site_label
_atom_site_fract_x
_atom_site_fract_y
_atom_site_fract_z
Na1 0.000 0.000 0.000
Sr1 0.000 0.500 0.500
Li1 0.500 0.500 0.000
Hg1 0.000 0.000 0.500
```

Summary:
- DOS at the Fermi energy: 2.4 states/eV/f.u.
- Uncorrected energy: -1.40 eV per atom
- E_form: -0.018 eV/atom
- E above lowest polymorph: 85 meV/atom